{"formula": "NdNbO2", "functional": "PBE-GGA", "state": "optimized geometry", "cell": [[-3.177, 3.177, 5.995], [3.177, -3.177, 5.995], [3.177, 3.177, -5.995]], "species": ["Nd", "Nd", "Nd", "Nd", "Nb", "Nb", "Nb", "Nb", "O", "O", "O", "O", "O", "O", "O", "O"], "frac_coords": [[0.000, 0.000, 0.000], [0.000, 0.000, 0.500], [0.000, 0.500, 0.000], [0.500, 0.000, 0.500], [0.000, 0.500, 0.500], [0.500, 0.000, 0.000], [0.500, 0.500, 0.000], [0.500, 0.500, 0.500], [0.201, 0.235, 0.534], [0.201, 0.668, 0.966], [0.235, 0.201, 0.034], [0.332, 0.799, 0.534], [0.668, 0.201, 0.466], [0.765, 0.799, 0.966], [0.799, 0.332, 0.034], [0.799, 0.765, 0.466]], "energy_ev_per_cell": -130.9, "e_form_raw_kj_per_mol_fu": -769}